Record 1
Material: ScBiPtSe3
Method: DFT, PBE
State: relaxed

Calculated values
* energy: -5.284 eV per atom
* M_tot: 0.00 μB per formula unit
* volume: 296.5 Å³/cell

Cell: 7.567 7.567 10.383 Å, 90.00 90.00 150.09°
Sites, in units of the cell vectors:
1 Bi 0.193 0.807 0.250
2 Bi 0.807 0.193 0.750
3 Pt 0.561 0.439 0.250
4 Pt 0.439 0.561 0.750
5 Sc 0.000 0.000 0.000
6 Sc 0.000 0.000 0.500
7 Se 0.633 0.367 0.025
8 Se 0.939 0.061 0.250
9 Se 0.633 0.367 0.475
10 Se 0.367 0.633 0.525
11 Se 0.061 0.939 0.750
12 Se 0.367 0.633 0.975

***

Record 2
Material: CsTmCoS3
Method: DFT, PBE
State: relaxed

Calculated values
* energy: -5.438 eV per atom
* M_tot: 2.99 μB per formula unit
* volume: 315.6 Å³/cell

Cell: 8.031 8.031 10.344 Å, 90.00 90.00 28.23°
Each line ends with the local moment (μB).
Sites, in units of the cell vectors:
1 Co 0.466 0.466 0.250  2.18
2 Co 0.534 0.534 0.750  2.18
3 Cs 0.739 0.739 0.250  0.01
4 Cs 0.261 0.261 0.750  0.01
5 S 0.389 0.389 0.065  0.12
6 S 0.049 0.049 0.250  0.17
7 S 0.389 0.389 0.435  0.12
8 S 0.611 0.611 0.565  0.12
9 S 0.951 0.951 0.750  0.17
10 S 0.611 0.611 0.935  0.12
11 Tm 0.000 0.000 0.000  0.03
12 Tm 0.000 0.000 0.500  0.03

***

Record 3
Material: LaMgFeSi2
Method: DFT, PBE
State: relaxed

Calculated values
* energy: -5.543 eV per atom
* M_tot: 2.20 μB per formula unit
* volume: 94.0 Å³/cell

Cell: 6.146 6.146 6.146 Å, 140.28 140.28 57.43°
Each line ends with the local moment (μB).
Sites, in units of the cell vectors:
1 Fe 0.000 0.000 0.000  2.28
2 La 0.250 0.750 0.500  -0.02
3 Mg 0.500 0.500 0.000  -0.01
4 Si 0.637 0.137 0.500  -0.01
5 Si 0.863 0.363 0.500  -0.02

***

Record 4
Material: Ac4Er4O11
Method: DFT, PBE
State: relaxed

Calculated values
* energy: -8.026 eV per atom
* energy above the lowest structure with this stoichiometry: 0.0000 eV per atom
* M_tot: 0.00 μB per formula unit
* volume: 311.7 Å³/cell

Cell: 5.985 6.114 8.518 Å, 90.00 90.00 89.90°
Sites, in units of the cell vectors:
1 Ac 0.994 0.024 0.250
2 Ac 0.532 0.547 0.250
3 Ac 0.489 0.457 0.750
4 Ac 0.008 0.953 0.750
5 Er 0.498 0.002 0.501
6 Er 0.001 0.497 0.502
7 Er 0.001 0.497 0.998
8 Er 0.498 0.002 0.999
9 O 0.799 0.802 0.051
10 O 0.696 0.304 0.053
11 O 0.397 0.957 0.250
12 O 0.696 0.304 0.447
13 O 0.799 0.802 0.449
14 O 0.195 0.200 0.556
15 O 0.297 0.703 0.560
16 O 0.607 0.047 0.750
17 O 0.891 0.545 0.750
18 O 0.297 0.703 0.940
19 O 0.195 0.200 0.944

***

Record 5
Material: HgSb4S8
Method: DFT, PBE
State: relaxed

Calculated values
* energy: -4.048 eV per atom
* volume: 1300.8 Å³/cell

Cell: 11.212 11.212 30.634 Å, 103.95 103.95 20.39°
Sites, in units of the cell vectors:
1 Hg 0.500 0.500 0.000
2 Hg 0.992 0.008 0.250
3 Hg 0.500 0.500 0.500
4 Hg 0.008 0.992 0.750
5 S 0.310 0.324 0.022
6 S 0.584 0.600 0.060
7 S 0.948 0.974 0.078
8 S 0.781 0.771 0.101
9 S 0.697 0.749 0.148
10 S 0.524 0.553 0.172
11 S 0.898 0.918 0.190
12 S 0.147 0.218 0.228
13 S 0.782 0.853 0.272
14 S 0.082 0.102 0.310
15 S 0.447 0.476 0.328
16 S 0.251 0.303 0.352
17 S 0.229 0.219 0.399
18 S 0.026 0.052 0.422
19 S 0.400 0.416 0.440
20 S 0.676 0.690 0.478
21 S 0.324 0.310 0.522
22 S 0.600 0.584 0.560
23 S 0.974 0.948 0.578
24 S 0.771 0.781 0.601
25 S 0.749 0.697 0.648
26 S 0.553 0.524 0.672
27 S 0.918 0.898 0.690
28 S 0.218 0.147 0.728
29 S 0.853 0.782 0.772
30 S 0.102 0.082 0.810
31 S 0.476 0.447 0.828
32 S 0.303 0.251 0.852
33 S 0.219 0.229 0.899
34 S 0.052 0.026 0.922
35 S 0.416 0.400 0.940
36 S 0.690 0.676 0.978
37 Sb 0.191 0.237 0.042
38 Sb 0.046 0.101 0.119
39 Sb 0.396 0.456 0.131
40 Sb 0.219 0.353 0.208
41 Sb 0.647 0.781 0.292
42 Sb 0.544 0.604 0.369
43 Sb 0.899 0.954 0.381
44 Sb 0.763 0.809 0.458
45 Sb 0.237 0.191 0.542
46 Sb 0.101 0.046 0.619
47 Sb 0.456 0.396 0.631
48 Sb 0.353 0.219 0.708
49 Sb 0.781 0.647 0.792
50 Sb 0.604 0.544 0.869
51 Sb 0.954 0.899 0.881
52 Sb 0.809 0.763 0.958

***

Record 6
Material: CoCuGePd
Method: DFT, PBE
State: relaxed

Calculated values
* energy: -5.183 eV per atom
* energy above the lowest structure with this stoichiometry: 0.0000 eV per atom
* M_tot: 0.78 μB per formula unit
* volume: 52.7 Å³/cell

Cell: 4.207 4.207 4.207 Å, 60.00 60.00 60.00°
Sites, in units of the cell vectors:
1 Co 0.750 0.750 0.750
2 Cu 0.250 0.250 0.250
3 Ge 0.000 0.000 0.000
4 Pd 0.500 0.500 0.500